AlIF3, optimized geometry, DFT GGA-PBE; energy above the most stable polymorph in this dataset = 0.819 eV per atom; space group = Pm-3m; total moment = 1.0 μB per cell
1.0
-1.538 -1.568 -3.480
-0.586 -3.611 1.886
-3.772 1.200 1.126
F Al I
3 1 1
direct
0.000 0.000 0.500
0.500 0.000 0.000
0.000 0.500 0.000
0.000 0.000 0.000
0.500 0.500 0.500